Entry 1:
{
  "formula": "La4Y3TmSe8",
  "functional": "PBE",
  "state": "optimized geometry",
  "mass_density_g_cm3": 6.472,
  "space_group": "No. 166",
  "total_energy_ha_per_atom": -0.233,
  "m_tot_mub_per_atom": 0.0000,
  "lattice_angstrom": [[8.316, 0.000, 0.000], [0.000, 8.450, 0.089], [-4.158, -4.154, 5.882]],
  "species": ["La", "La", "La", "La", "Y", "Y", "Y", "Tm", "Se", "Se", "Se", "Se", "Se", "Se", "Se", "Se"],
  "frac_coords": [[0.500, 0.000, 0.000], [0.500, 0.000, 0.500], [0.000, 0.000, 0.000], [0.000, 0.000, 0.500], [0.500, 0.500, 0.000], [0.500, 0.500, 0.500], [0.000, 0.500, 0.500], [0.000, 0.500, 0.000], [0.241, 0.729, 0.988], [0.242, 0.730, 0.484], [0.256, 0.268, 0.512], [0.747, 0.729, 0.988], [0.253, 0.271, 0.012], [0.744, 0.732, 0.488], [0.758, 0.270, 0.516], [0.759, 0.271, 0.012]]
}


Entry 2:
{
  "formula": "Be2CoBr",
  "functional": "PBE",
  "state": "optimized geometry",
  "e_above_lowest_polymorph_mev_per_atom": 750,
  "mass_density_g_cm3": 5.273,
  "space_group": "No. 216",
  "total_energy_ha_per_atom": -0.117,
  "m_tot_mub_per_atom": 0.0000,
  "lattice_angstrom": [[-2.189, 3.454, -0.491], [-2.389, 1.377, 3.059], [1.047, 3.412, 2.055]],
  "species": ["Be", "Be", "Co", "Br"],
  "frac_coords": [[0.000, 0.000, 0.000], [0.750, 0.750, 0.750], [0.250, 0.250, 0.250], [0.500, 0.500, 0.500]]
}


Entry 3:
{
  "formula": "Si2SnHg2",
  "functional": "PBE",
  "state": "optimized geometry",
  "e_above_lowest_polymorph_mev_per_atom": 132,
  "mass_density_g_cm3": 8.308,
  "space_group": "No. 139",
  "total_energy_ha_per_atom": -0.098,
  "m_tot_mub_per_atom": 0.0000,
  "lattice_angstrom": [[-2.951, -1.160, 3.337], [-3.312, -0.606, -3.140], [-1.679, -6.092, -0.428]],
  "species": ["Si", "Si", "Hg", "Hg", "Sn"],
  "frac_coords": [[0.394, 0.394, 0.213], [0.606, 0.606, 0.787], [0.750, 0.250, 0.500], [0.250, 0.750, 0.500], [0.000, 0.000, 0.000]]
}


Entry 4:
{
  "formula": "YTmPu2",
  "functional": "PBE",
  "state": "optimized geometry",
  "e_above_lowest_polymorph_mev_per_atom": 11,
  "mass_density_g_cm3": 10.654,
  "space_group": "No. 123",
  "total_energy_ha_per_atom": -0.357,
  "m_tot_mub_per_atom": 3.2000,
  "lattice_angstrom": [[3.392, 0.000, 0.000], [0.000, 3.392, 0.000], [0.000, 0.000, 10.104]],
  "species": ["Y", "Tm", "Pu", "Pu"],
  "frac_coords": [[0.500, 0.500, 0.000], [0.500, 0.500, 0.500], [0.000, 0.000, 0.746], [0.000, 0.000, 0.254]]
}


Entry 5:
{
  "formula": "ThAl3Pd3",
  "functional": "PBE",
  "state": "optimized geometry",
  "mass_density_g_cm3": 7.993,
  "space_group": "No. 148",
  "total_energy_ha_per_atom": -0.204,
  "m_tot_mub_per_atom": 0.0000,
  "lattice_angstrom": [[6.794, 0.000, 0.000], [3.397, 5.884, 0.000], [3.397, 1.961, 6.572]],
  "species": ["Th", "Th", "Al", "Al", "Al", "Al", "Al", "Al", "Pd", "Pd", "Pd", "Pd", "Pd", "Pd"],
  "frac_coords": [[0.343, 0.343, 0.972], [0.657, 0.657, 0.028], [0.562, 0.742, 0.615], [0.742, 0.082, 0.615], [0.082, 0.562, 0.615], [0.918, 0.438, 0.385], [0.258, 0.918, 0.385], [0.438, 0.258, 0.385], [0.174, 0.692, 0.225], [0.909, 0.174, 0.225], [0.692, 0.909, 0.225], [0.308, 0.091, 0.775], [0.091, 0.826, 0.775], [0.826, 0.308, 0.775]]
}


Entry 6:
{
  "formula": "Nd4Ni2Pd",
  "functional": "PBE",
  "state": "optimized geometry",
  "mass_density_g_cm3": 7.584,
  "space_group": "No. 9",
  "total_energy_ha_per_atom": -0.201,
  "m_tot_mub_per_atom": 0.0000,
  "lattice_angstrom": [[-6.644, -2.872, -1.963], [2.783, -3.846, 5.849], [-1.083, 7.492, 2.210]],
  "species": ["Nd", "Nd", "Nd", "Nd", "Nd", "Nd", "Nd", "Nd", "Ni", "Ni", "Ni", "Ni", "Pd", "Pd"],
  "frac_coords": [[0.957, 0.229, 0.332], [0.408, 0.501, 0.265], [0.899, 0.621, 0.667], [0.746, 0.157, 0.763], [0.393, 0.986, 0.235], [0.233, 0.144, 0.737], [0.483, 0.704, 0.833], [0.875, 0.648, 0.168], [0.479, 0.343, 0.581], [0.763, 0.900, 0.417], [0.595, 0.233, 0.083], [0.148, 0.512, 0.919], [0.262, 0.763, 0.503], [0.009, 0.010, 0.997]]
}